(1)
Compound: LiH6Rh3
Source: the Alexandria database
Functional: GGA-PBE
Structure: relaxed

## Properties
* total moment: 0.00 μB/f.u.
* crystal system: trigonal
* electronic total energy: -89.87 eV for the cell shown

Cell lengths 5.5040, 5.5038, 5.5037 Å; angles 95.41, 95.41, 95.41 degrees
Fractional positions:
Li 0.0000 0.0000 0.0000
Li 0.5000 0.5000 0.5000
H 0.0036 0.6635 0.1031
H 0.8969 0.9964 0.3366
H 0.1636 0.5031 0.6027
H 0.3365 0.8969 0.9964
H 0.5031 0.6027 0.1635
H 0.3972 0.8364 0.4969
H 0.6028 0.1636 0.5031
H 0.4969 0.3973 0.8365
H 0.6635 0.1031 0.0036
H 0.8364 0.4969 0.3973
H 0.1031 0.0036 0.6634
H 0.9964 0.3365 0.8969
Rh 0.0713 0.7500 0.4290
Rh 0.4289 0.0713 0.7500
Rh 0.2500 0.5711 0.9287
Rh 0.7500 0.4289 0.0713
Rh 0.5711 0.9287 0.2500
Rh 0.9287 0.2500 0.5710

***

(2)
Compound: Li4H10Rh3
Source: the Alexandria database
Functional: GGA-PBE
Structure: relaxed

## Properties
* total moment: 0.00 μB/f.u.
* crystal system: orthorhombic
* electronic total energy: -69.37 eV for the cell shown

Cell lengths 3.4125, 3.4125, 12.0982 Å; angles 98.09, 98.09, 90.08 degrees
Fractional positions:
Li 0.5690 0.5690 0.1380
Li 0.4310 0.4310 0.8620
Li 0.2972 0.2972 0.5944
Li 0.7028 0.7028 0.4056
H 0.1420 0.6420 0.2840
H 0.0729 0.0729 0.1457
H 0.6420 0.1420 0.2840
H 0.8580 0.3580 0.7160
H 0.3580 0.8580 0.7160
H 0.9271 0.9271 0.8543
H 0.2166 0.2166 0.4332
H 0.7834 0.7834 0.5668
H 0.0000 0.5000 0.0000
H 0.5000 0.0000 0.0000
Rh 0.1458 0.1458 0.2917
Rh 0.8542 0.8542 0.7083
Rh 0.0000 0.0000 0.0000

***

(3)
Compound: Li2H2Rh
Source: the Alexandria database
Functional: GGA-PBE
Structure: relaxed

## Properties
* total moment: 0.00 μB/f.u.
* crystal system: monoclinic
* electronic total energy: -39.18 eV for the cell shown

Cell lengths 4.0735, 4.9926, 5.4114 Å; angles 111.22, 90.00, 114.08 degrees
Fractional positions:
Li 0.6873 0.3745 0.6053
Li 0.3127 0.6255 0.3947
Li 0.0119 0.0239 0.7769
Li 0.9881 0.9761 0.2231
H 0.1656 0.3312 0.6215
H 0.8344 0.6688 0.3785
H 0.5103 0.0205 0.2161
H 0.4897 0.9795 0.7839
Rh 0.3343 0.6685 0.9077
Rh 0.6657 0.3315 0.0923

***

(4)
Compound: Li3H4Rh2
Source: the Alexandria database
Functional: GGA-PBE
Structure: relaxed

## Properties
* total moment: 0.00 μB/f.u.
* crystal system: monoclinic
* electronic total energy: -36.91 eV for the cell shown

Cell lengths 2.9332, 4.9954, 8.2078 Å; angles 131.64, 90.00, 107.07 degrees
Fractional positions:
Li 0.5701 0.1402 0.7310
Li 0.0000 0.0000 0.0000
Li 0.4299 0.8598 0.2690
H 0.7260 0.4520 0.1342
H 0.2740 0.5480 0.8658
H 0.8651 0.7302 0.6686
H 0.1349 0.2698 0.3314
Rh 0.7650 0.5300 0.3667
Rh 0.2350 0.4700 0.6333

***

(5)
Compound: Li2H5Rh2
Source: the Alexandria database
Functional: GGA-PBE
Structure: relaxed

## Properties
* total moment: 0.00 μB/f.u.
* crystal system: monoclinic
* electronic total energy: -37.09 eV for the cell shown

Cell lengths 3.0399, 5.1368, 4.6864 Å; angles 78.62, 90.00, 107.21 degrees
Fractional positions:
Li 0.4511 0.9022 0.7548
Li 0.5489 0.0978 0.2452
H 0.2964 0.5929 0.0632
H 0.7036 0.4071 0.9368
H 0.0941 0.1881 0.5062
H 0.9059 0.8119 0.4938
H 0.0000 0.0000 0.0000
Rh 0.1760 0.3520 0.7692
Rh 0.8240 0.6480 0.2308

***

(6)
Compound: Li2HRuRh
Source: the Alexandria database
Functional: GGA-PBE
Structure: relaxed

## Properties
* total moment: 1.28 μB/f.u.
* crystal system: tetragonal
* electronic total energy: -23.59 eV for the cell shown

Cell lengths 3.7330, 3.7330, 3.9018 Å; angles 90.00, 90.00, 90.00 degrees
Site moments in Bohr magnetons follow the coordinates.
Fractional positions:
Ru 0.0000 0.0000 0.5000  0.73
Rh 0.5000 0.5000 0.5000  0.55
H 0.0000 0.0000 0.0000  0.00
Li 0.0000 0.5000 0.0000  -0.01
Li 0.5000 0.0000 0.0000  -0.01

***

(7)
Compound: Li2SbHRh
Source: the Alexandria database
Functional: GGA-PBE
Structure: relaxed

## Properties
* excess energy over the best structure of this formula in the dataset: 0.000 eV per atom
* total moment: 0.00 μB/f.u.
* crystal system: tetragonal
* electronic total energy: -20.88 eV for the cell shown

Cell lengths 4.0371, 4.0371, 3.8374 Å; angles 90.00, 90.00, 90.00 degrees
Fractional positions:
Sb 0.5000 0.5000 0.5000
Rh 0.0000 0.0000 0.5000
H 0.0000 0.0000 0.0000
Li 0.0000 0.5000 0.0000
Li 0.5000 0.0000 0.0000

***

(8)
Compound: Li2SbHRh
Source: the Alexandria database
Functional: GGA-PBE
Structure: relaxed

## Properties
* excess energy over the best structure of this formula in the dataset: 1.022 eV per atom
* total moment: 1.00 μB/f.u.
* crystal system: tetragonal
* electronic total energy: -15.77 eV for the cell shown

Cell lengths 5.1077, 3.5551, 5.1077 Å; angles 90.00, 90.00, 90.00 degrees
Site moments in Bohr magnetons follow the coordinates.
Fractional positions:
Sb 0.0000 0.0000 0.0000  0.07
Rh 0.5000 0.5000 0.5000  0.86
H 0.0000 0.5000 0.0000  0.00
Li 0.0000 0.0000 0.5000  0.01
Li 0.5000 0.0000 0.0000  0.00

***

> The lowest electronic total energy belongs to which entry?

LiH6Rh3

***

> What is the formula in the eighth record?

Li2SbHRh

***

> What is the total moment in the fourth record?

0.00 μB/f.u.

***

> electronic total energy of number 8 (Li2SbHRh)?

-15.77 eV for the cell shown